Entry 1:
Here is a PBEsol-optimized structure of PbSO2 from Alexandria. Energies are from meta-GGA SCAN.

Values from the calculation:
DFT total energy in eV/atom: -24.877
Size of the total moment in μB per formula unit: 1.44
Density of states at the Fermi level in states/eV/f.u.: 2.21

The structure in extended XYZ format:
```
4
Lattice="1.791 1.034 6.330 -1.791 1.034 6.330 0.000 -2.069 6.330" Properties=species:S:1:pos:R:3 pbc="T T T"
Pb 0.000 0.000 0.000
S 0.000 0.000 9.495
O 0.000 0.000 7.742
O 0.000 0.000 11.249
```



Entry 2:
Here is a PBEsol-optimized structure of ZnCu2Ni from Alexandria. Energies are from meta-GGA SCAN.

Values from the calculation:
Size of the total moment in μB per formula unit: 0.00
Density of states at the Fermi level in states/eV/f.u.: 1.62
DFT formation energy in eV/atom: -0.0423

The structure in extended XYZ format:
```
4
Lattice="2.535 0.000 0.000 0.000 3.578 0.000 0.000 0.000 5.043" Properties=species:S:1:pos:R:3 pbc="T T T"
Zn 0.000 0.000 0.000
Cu 1.268 1.789 1.297
Cu 1.268 1.789 3.746
Ni 0.000 0.000 2.521
```



Entry 3:
Here is a PBEsol-optimized structure of HfSnS2 from Alexandria. Energies are from meta-GGA SCAN.

Values from the calculation:
DFT total energy in eV/atom: -30.652
Size of the total moment in μB per formula unit: 0.00
Density of states at the Fermi level in states/eV/f.u.: 1.71

The structure in extended XYZ format:
```
4
Lattice="1.732 1.000 8.674 -1.732 1.000 8.674 0.000 -2.000 8.674" Properties=species:S:1:pos:R:3 pbc="T T T"
Hf 0.000 0.000 0.000
Sn 0.000 0.000 13.012
S 0.000 0.000 10.207
S 0.000 0.000 15.816
```



Entry 4:
Here is a PBEsol-optimized structure of PmCl2 from Alexandria. Energies are from meta-GGA SCAN.

Values from the calculation:
DFT total energy in eV/atom: -22.172
Size of the total moment in μB per formula unit: 0.09
Density of states at the Fermi level in states/eV/f.u.: 1.33

The structure in extended XYZ format:
```
6
Lattice="6.984 0.000 0.000 0.000 6.984 0.000 0.000 0.000 3.508" Properties=species:S:1:pos:R:3 pbc="T T T"
Pm 0.000 0.000 0.000
Pm 3.492 3.492 1.754
Cl 1.534 1.534 1.754
Cl 1.958 5.027 0.000
Cl 5.027 1.958 0.000
Cl 5.450 5.450 1.754
```



Entry 5:
Here is a PBEsol-optimized structure of Rb3CuO2 from Alexandria. Energies are from meta-GGA SCAN.

Values from the calculation:
DFT total energy in eV/atom: -16.144
Size of the total moment in μB per formula unit: 0.11
Density of states at the Fermi level in states/eV/f.u.: 0.00

The structure in extended XYZ format:
```
24
Lattice="6.661 0.000 0.000 0.000 9.588 0.000 -3.479 0.000 8.644" Properties=species:S:1:pos:R:3 pbc="T T T"
Rb 0.270 0.237 3.243
Rb -1.469 4.557 7.565
Rb -1.770 0.338 8.601
Rb -0.030 4.456 4.278
Rb 1.076 6.802 1.623
Rb -0.663 7.580 5.945
Rb 3.845 2.008 2.700
Rb 2.106 2.786 7.022
Rb 3.212 5.132 4.366
Rb 4.952 9.249 0.044
Rb 4.651 5.031 1.079
Rb 2.912 9.350 5.401
Cu -0.955 1.714 5.817
Cu 0.784 3.080 1.494
Cu 2.398 6.507 7.150
Cu 4.137 7.874 2.828
O -1.250 6.695 3.278
O -2.989 7.687 7.601
O 0.364 0.576 6.247
O 2.104 4.218 1.925
O 1.078 5.370 6.719
O 2.818 9.012 2.397
O 6.171 1.901 1.044
O 4.431 2.893 5.366
```



Entry 6:
Here is a PBEsol-optimized structure of LaSiPb from Alexandria. Energies are from meta-GGA SCAN.

Values from the calculation:
DFT total energy in eV/atom: -43.213
Size of the total moment in μB per formula unit: 0.00
Density of states at the Fermi level in states/eV/f.u.: 2.58

The structure in extended XYZ format:
```
3
Lattice="0.000 3.486 3.486 3.486 0.000 3.486 3.486 3.486 0.000" Properties=species:S:1:pos:R:3 pbc="T T T"
La 0.000 0.000 0.000
Si 1.743 1.743 1.743
Pb 3.486 3.486 3.486
```



Entry 7:
Here is a PBEsol-optimized structure of ScMn3Sb from Alexandria. Energies are from meta-GGA SCAN.

Values from the calculation:
Offset from the most stable computed form in meV/atom: 465.7
Size of the total moment in μB per formula unit: 10.08
Density of states at the Fermi level in states/eV/f.u.: 2.43

The structure in extended XYZ format:
```
5
Lattice="4.581 0.000 0.000 0.000 4.581 0.000 0.000 0.000 4.581" Properties=species:S:1:pos:R:3 pbc="T T T"
Sc 0.000 0.000 0.000
Mn 0.000 0.000 2.291
Mn 0.000 2.291 0.000
Mn 2.291 0.000 0.000
Sb 2.291 2.291 2.291
```



Entry 8:
Here is a PBEsol-optimized structure of Cd41Ir8 from Alexandria. Energies are from meta-GGA SCAN.

Values from the calculation:
Size of the total moment in μB per formula unit: 0.00
Density of states at the Fermi level in states/eV/f.u.: 15.20
DFT formation energy in eV/atom: -0.1017

The structure in extended XYZ format:
```
49
Lattice="7.397 4.271 5.301 -7.397 4.271 5.301 0.000 -8.541 5.301" Properties=species:S:1:pos:R:3 pbc="T T T"
Cd 0.000 0.000 0.000
Cd -3.698 -2.135 5.301
Cd -2.731 0.026 3.468
Cd -6.067 -2.315 8.760
Cd -5.218 -0.212 6.903
Cd -4.106 1.928 5.236
Cd -1.029 -6.412 7.143
Cd 0.384 -4.520 5.236
Cd 1.343 -2.379 3.468
Cd -2.425 -4.625 9.000
Cd -0.784 -1.578 5.391
Cd -2.572 -1.707 7.992
Cd -5.038 4.097 7.143
Cd -3.723 -2.592 10.667
Cd -0.975 1.468 5.391
Cd -2.764 1.374 7.911
Cd 0.192 -3.081 7.911
Cd 1.388 2.352 3.468
Cd 2.793 -4.413 6.903
Cd 1.759 0.110 5.391
Cd -3.698 2.135 10.602
Cd 0.000 4.271 5.301
Cd 0.000 0.000 7.951
Cd -1.759 -0.110 10.512
Cd -2.793 4.413 9.000
Cd -1.388 -2.352 12.434
Cd -0.192 3.081 7.992
Cd 2.764 -1.374 7.992
Cd 0.975 -1.468 10.512
Cd 3.723 2.592 5.236
Cd 5.038 -4.097 8.760
Cd 2.572 1.707 7.911
Cd 0.784 1.578 10.512
Cd 2.425 4.625 6.903
Cd -1.343 2.379 12.434
Cd -0.384 4.520 10.667
Cd 1.029 6.412 8.760
Cd 4.106 -1.928 10.667
Cd 5.218 0.212 9.000
Cd 6.067 2.315 7.143
Cd 2.731 -0.026 12.434
Ir -2.007 -3.982 6.404
Ir 0.000 0.000 3.092
Ir -4.452 -0.253 9.499
Ir -2.445 3.729 6.404
Ir 2.445 -3.729 9.499
Ir 4.452 0.253 6.404
Ir 0.000 0.000 12.811
Ir 2.007 3.982 9.499
```



Entry 9:
Here is a PBEsol-optimized structure of Bi12AsO20 from Alexandria. Energies are from meta-GGA SCAN.

Values from the calculation:
DFT total energy in eV/atom: -34.123
Size of the total moment in μB per formula unit: 0.00
Density of states at the Fermi level in states/eV/f.u.: 4.25

The structure in extended XYZ format:
```
33
Lattice="-5.085 5.085 5.085 5.085 -5.085 5.085 5.085 5.085 -5.085" Properties=species:S:1:pos:R:3 pbc="T T T"
Bi 4.869 3.307 -1.776
Bi 6.860 -0.216 1.777
Bi 3.309 0.216 1.777
Bi 3.307 -1.776 4.869
Bi 1.777 3.309 0.216
Bi 0.216 1.777 3.309
Bi 5.301 3.307 1.776
Bi 1.777 6.860 -0.216
Bi 3.307 1.776 5.301
Bi -1.776 4.869 3.307
Bi 1.776 5.301 3.307
Bi -0.216 1.777 6.860
As 0.000 0.000 0.000
O 0.995 0.995 -0.995
O 3.056 3.056 -3.056
O 0.995 -0.995 0.995
O 3.056 -3.056 3.056
O 5.143 -1.340 2.580
O -0.995 0.995 0.995
O 3.744 2.504 -0.058
O 6.425 2.504 0.058
O 2.504 -0.058 3.744
O 2.580 5.143 -1.340
O 5.026 1.340 2.580
O 2.029 2.029 2.029
O -3.056 3.056 3.056
O -0.058 3.744 2.504
O 2.580 5.026 1.340
O 2.504 0.058 6.425
O 1.340 2.580 5.026
O -1.340 2.580 5.143
O 4.090 4.090 4.090
O 0.058 6.425 2.504
```



Entry 10:
Here is a PBEsol-optimized structure of K2BaTlPb from Alexandria. Energies are from meta-GGA SCAN.

Values from the calculation:
Size of the total moment in μB per formula unit: 1.41
Density of states at the Fermi level in states/eV/f.u.: 4.31
DFT formation energy in eV/atom: 0.0326

The structure in extended XYZ format:
```
5
Lattice="6.620 0.000 0.000 0.000 6.620 0.000 0.000 0.000 6.545" Properties=species:S:1:pos:R:3 pbc="T T T"
K 0.000 3.310 0.000
K 3.310 0.000 0.000
Ba 0.000 0.000 3.273
Tl 3.310 3.310 3.273
Pb 0.000 0.000 0.000
```



Entry 11:
Here is a PBEsol-optimized structure of Cr3SiO from Alexandria. Energies are from meta-GGA SCAN.

Values from the calculation:
DFT total energy in eV/atom: -14.707
Size of the total moment in μB per formula unit: 2.59
Density of states at the Fermi level in states/eV/f.u.: 2.81

The structure in extended XYZ format:
```
5
Lattice="3.752 0.000 0.000 0.000 3.752 0.000 0.000 0.000 3.752" Properties=species:S:1:pos:R:3 pbc="T T T"
Cr 0.000 0.000 1.876
Cr 0.000 1.876 0.000
Cr 1.876 0.000 0.000
Si 1.876 1.876 1.876
O 0.000 0.000 0.000
```



Entry 12:
Here is a PBEsol-optimized structure of BaSrCo2H from Alexandria. Energies are from meta-GGA SCAN.

Values from the calculation:
Offset from the most stable computed form in meV/atom: 10.0
Size of the total moment in μB per formula unit: 3.18
Density of states at the Fermi level in states/eV/f.u.: 1.99

The structure in extended XYZ format:
```
5
Lattice="5.360 0.000 0.000 0.000 5.360 0.000 0.000 0.000 4.529" Properties=species:S:1:pos:R:3 pbc="T T T"
Ba 0.000 0.000 0.000
Sr 2.680 2.680 2.265
Co 0.000 2.680 2.265
Co 2.680 0.000 2.265
H 2.680 2.680 0.000
```



Entry 13:
Here is a PBEsol-optimized structure of ReTcAs3 from Alexandria. Energies are from meta-GGA SCAN.

Values from the calculation:
Size of the total moment in μB per formula unit: 2.85
Density of states at the Fermi level in states/eV/f.u.: 3.47
DFT formation energy in eV/atom: 1.4264

The structure in extended XYZ format:
```
5
Lattice="4.687 0.000 0.000 0.000 4.687 0.000 0.000 0.000 4.687" Properties=species:S:1:pos:R:3 pbc="T T T"
Re 0.000 0.000 0.000
Tc 2.344 2.344 2.344
As 0.000 2.344 2.344
As 2.344 0.000 2.344
As 2.344 2.344 0.000
```



Entry 14:
Here is a PBEsol-optimized structure of ZnCo3F from Alexandria. Energies are from meta-GGA SCAN.

Values from the calculation:
DFT total energy in eV/atom: -12.933
Size of the total moment in μB per formula unit: 6.13
Density of states at the Fermi level in states/eV/f.u.: 1.88

The structure in extended XYZ format:
```
5
Lattice="4.338 0.000 0.000 0.000 4.338 0.000 0.000 0.000 4.338" Properties=species:S:1:pos:R:3 pbc="T T T"
Zn 0.000 0.000 0.000
Co 0.000 0.000 2.169
Co 0.000 2.169 0.000
Co 2.169 0.000 0.000
F 2.169 2.169 2.169
```



Entry 15:
Here is a PBEsol-optimized structure of VOF from Alexandria. Energies are from meta-GGA SCAN.

Values from the calculation:
DFT total energy in eV/atom: -11.972
Size of the total moment in μB per formula unit: 2.00
Density of states at the Fermi level in states/eV/f.u.: 0.00

The structure in extended XYZ format:
```
6
Lattice="1.674 0.966 5.880 -1.674 0.966 5.880 0.000 -1.933 5.880" Properties=species:S:1:pos:R:3 pbc="T T T"
V 0.000 0.000 4.223
V 0.000 0.000 13.418
O 0.000 0.000 2.210
O 0.000 0.000 15.430
F 0.000 0.000 6.585
F 0.000 0.000 11.056
```



Entry 16:
Here is a PBEsol-optimized structure of LiSb5 from Alexandria. Energies are from meta-GGA SCAN.

Values from the calculation:
Offset from the most stable computed form in meV/atom: 93.4
Size of the total moment in μB per formula unit: 0.00
Density of states at the Fermi level in states/eV/f.u.: 3.75

The structure in extended XYZ format:
```
6
Lattice="3.184 0.000 0.000 0.000 3.184 0.000 0.000 0.000 14.352" Properties=species:S:1:pos:R:3 pbc="T T T"
Li 0.000 0.000 0.000
Sb 0.000 0.000 4.623
Sb 0.000 0.000 9.730
Sb 1.592 1.592 1.905
Sb 1.592 1.592 7.176
Sb 1.592 1.592 12.448
```



Entry 17:
Here is a PBEsol-optimized structure of RbLa2BSe from Alexandria. Energies are from meta-GGA SCAN.

Values from the calculation:
DFT total energy in eV/atom: -25.294
Size of the total moment in μB per formula unit: 0.03
Density of states at the Fermi level in states/eV/f.u.: 5.31

The structure in extended XYZ format:
```
5
Lattice="5.560 0.000 0.000 0.000 5.560 0.000 0.000 0.000 5.413" Properties=species:S:1:pos:R:3 pbc="T T T"
Rb 0.000 0.000 0.000
La 0.000 2.780 0.000
La 2.780 0.000 0.000
B 2.780 2.780 2.706
Se 0.000 0.000 2.706
```



Entry 18:
Here is a PBEsol-optimized structure of VAg2P2O8 from Alexandria. Energies are from meta-GGA SCAN.

Values from the calculation:
DFT total energy in eV/atom: -13.617
Size of the total moment in μB per formula unit: 1.00

The structure in extended XYZ format:
```
52
Lattice="7.610 0.000 0.000 0.000 13.680 0.000 -1.017 0.000 6.170" Properties=species:S:1:pos:R:3 pbc="T T T"
V 1.429 1.084 1.619
V 0.920 5.756 4.704
V 5.672 7.924 1.466
V 5.164 12.596 4.551
Ag -0.285 9.711 4.014
Ag 0.224 10.808 0.929
Ag 2.900 8.800 3.514
Ag 3.409 11.719 0.429
Ag 3.184 1.961 5.741
Ag 3.693 4.879 2.656
Ag 6.369 2.871 5.241
Ag 6.877 3.968 2.156
P 0.549 0.314 4.608
P 1.057 6.526 1.523
P 2.738 8.564 0.193
P 2.229 11.955 3.278
P 4.363 1.725 2.892
P 3.855 5.115 5.977
P 5.536 7.154 4.647
P 6.044 13.365 1.562
O -0.554 7.108 4.560
O -0.045 13.411 1.475
O 0.565 2.384 1.083
O 0.056 4.456 4.168
O 1.080 1.279 3.552
O 1.588 5.561 0.467
O 1.530 8.010 1.128
O 1.021 12.509 4.213
O 1.189 9.898 5.833
O 1.697 10.621 2.748
O 1.190 0.625 5.973
O 1.699 6.215 2.888
O 1.966 7.541 5.257
O 2.475 12.978 2.172
O 3.182 1.952 1.939
O 2.673 4.888 5.024
O 3.919 8.792 1.146
O 3.411 11.728 4.231
O 4.118 0.701 3.998
O 4.626 6.139 0.913
O 4.894 7.465 3.282
O 5.402 13.055 0.197
O 4.896 3.059 3.422
O 5.404 3.781 0.337
O 5.571 1.170 1.957
O 5.063 5.670 5.042
O 5.004 8.118 5.703
O 5.513 12.401 2.618
O 6.536 9.224 2.002
O 6.028 11.295 5.086
O 6.638 0.268 4.695
O 7.147 6.572 1.610
```



Entry 19:
Here is a PBEsol-optimized structure of CdInHg2 from Alexandria. Energies are from meta-GGA SCAN.

Values from the calculation:
Size of the total moment in μB per formula unit: 0.00
Density of states at the Fermi level in states/eV/f.u.: 1.38
DFT formation energy in eV/atom: 0.0338

The structure in extended XYZ format:
```
4
Lattice="-1.861 2.414 5.190 1.861 -2.414 5.190 1.861 2.414 -5.190" Properties=species:S:1:pos:R:3 pbc="T T T"
Cd 0.000 0.000 0.000
In 0.000 2.414 2.571
Hg 1.861 0.000 2.512
Hg 0.000 0.000 5.116
```



Entry 20:
Here is a PBEsol-optimized structure of CeCuSn from Alexandria. Energies are from meta-GGA SCAN.

Values from the calculation:
Size of the total moment in μB per formula unit: 1.05
Density of states at the Fermi level in states/eV/f.u.: 1.55
DFT formation energy in eV/atom: -0.5800

The structure in extended XYZ format:
```
6
Lattice="4.516 0.000 0.000 -2.258 3.911 0.000 0.000 0.000 7.509" Properties=species:S:1:pos:R:3 pbc="T T T"
Ce 0.000 0.000 0.000
Ce 0.000 0.000 3.754
Cu 0.000 2.607 1.877
Cu 2.258 1.304 5.631
Sn 0.000 2.607 5.631
Sn 2.258 1.304 1.877
```



Entry 21:
Here is a PBEsol-optimized structure of Ta2GaSnAs from Alexandria. Energies are from meta-GGA SCAN.

Values from the calculation:
Size of the total moment in μB per formula unit: 0.00
Density of states at the Fermi level in states/eV/f.u.: 6.52
DFT formation energy in eV/atom: 1.4616

The structure in extended XYZ format:
```
5
Lattice="4.831 0.000 0.000 0.000 4.831 0.000 0.000 0.000 4.786" Properties=species:S:1:pos:R:3 pbc="T T T"
Ta 0.000 2.416 0.000
Ta 2.416 0.000 0.000
Ga 0.000 0.000 0.000
Sn 0.000 0.000 2.393
As 2.416 2.416 2.393
```